TaHgMo: relaxed, GGA-PBEsol.

Cell and atoms, written as POSCAR:
```
TaHgMo
1.0
2.875 0.000 0.000
-1.437 2.490 0.000
0.000 0.000 7.402
Ta Hg Mo
1 1 1
direct
0.000 0.000 0.000
0.333 0.667 0.659
0.667 0.333 0.329
```

Output
Magnetic moment, μB per formula unit: 0.00
Energy of formation from the pure elements, eV/atom: 0.421

MgPtAu2C: relaxed, GGA-PBEsol.

Cell and atoms, written as POSCAR:
```
MgPtAu2C
1.0
4.187 0.000 0.000
0.000 4.187 0.000
0.000 0.000 4.239
Mg Pt Au C
1 1 2 1
direct
0.000 0.000 0.000
0.500 0.500 0.000
0.000 0.500 0.500
0.500 0.000 0.500
0.000 0.000 0.500
```

Output
Magnetic moment, μB per formula unit: 0.00
Energy of formation from the pure elements, eV/atom: 0.419

Mg2PPb: relaxed, GGA-PBEsol.

Cell and atoms, written as POSCAR:
```
Mg2PPb
1.0
4.385 -1.894 0.000
4.385 1.894 0.000
-2.302 0.000 5.442
Mg P Pb
2 1 1
direct
0.000 0.000 0.000
0.182 0.182 0.606
0.667 0.667 0.884
0.391 0.391 0.337
```

Output
Magnetic moment, μB per formula unit: 0.00
Energy of formation from the pure elements, eV/atom: -0.208

DySbRh: relaxed, GGA-PBEsol.

Cell and atoms, written as POSCAR:
```
DySbRh
1.0
7.049 0.000 0.000
0.000 4.514 0.000
0.000 0.000 7.725
Dy Sb Rh
4 4 4
direct
0.009 0.250 0.201
0.491 0.750 0.701
0.509 0.250 0.299
0.991 0.750 0.799
0.192 0.250 0.591
0.308 0.750 0.091
0.692 0.250 0.909
0.808 0.750 0.409
0.198 0.750 0.418
0.302 0.250 0.918
0.698 0.750 0.082
0.802 0.250 0.582
```

Output
Magnetic moment, μB per formula unit: 0.00
Formation energy (no corrections), eV/atom: -1.029

KSb2As: relaxed, GGA-PBEsol.

Cell and atoms, written as POSCAR:
```
KSb2As
1.0
3.792 0.000 0.000
0.000 4.355 0.000
0.000 0.000 6.913
K Sb As
1 2 1
direct
0.000 0.000 0.000
0.000 0.000 0.518
0.500 0.500 0.315
0.500 0.500 0.691
```

Output
Magnetic moment, μB per formula unit: 0.00
Formation energy (no corrections), eV/atom: -0.039

NdAl11O18: relaxed, GGA-PBEsol.

Cell and atoms, written as POSCAR:
```
NdAl11O18
1.0
5.565 0.000 0.000
2.627 4.935 0.000
0.044 2.924 10.982
Nd Al O
1 11 18
direct
0.000 0.000 0.000
0.000 0.500 0.500
0.110 0.314 0.275
0.115 0.806 0.292
0.351 0.797 0.559
0.391 0.189 0.718
0.446 0.582 0.874
0.554 0.418 0.126
0.609 0.811 0.282
0.649 0.203 0.441
0.885 0.194 0.708
0.890 0.686 0.725
0.073 0.826 0.794
0.078 0.303 0.796
0.173 0.130 0.598
0.189 0.583 0.610
0.271 0.549 0.006
0.281 0.420 0.396
0.313 0.901 0.393
0.404 0.718 0.194
0.439 0.184 0.216
0.561 0.816 0.784
0.596 0.282 0.806
0.687 0.099 0.607
0.719 0.580 0.604
0.729 0.451 0.994
0.811 0.417 0.390
0.827 0.870 0.402
0.922 0.697 0.204
0.927 0.174 0.206
```

Output
Magnetic moment, μB per formula unit: 0.00
Formation energy (no corrections), eV/atom: -3.005

BaCaMg2Tc: relaxed, GGA-PBEsol.

Cell and atoms, written as POSCAR:
```
BaCaMg2Tc
1.0
5.705 0.000 0.000
0.000 5.705 0.000
0.000 0.000 5.013
Ba Ca Mg Tc
1 1 2 1
direct
0.000 0.000 0.000
0.500 0.500 0.500
0.000 0.500 0.500
0.500 0.000 0.500
0.500 0.500 0.000
```

Output
Magnetic moment, μB per formula unit: 1.94
Energy of formation from the pure elements, eV/atom: 1.051

H2Pd2Pt: relaxed, GGA-PBEsol.

Cell and atoms, written as POSCAR:
```
H2Pd2Pt
1.0
-1.441 1.441 6.039
1.441 -1.441 6.039
1.441 1.441 -6.039
H Pd Pt
2 2 1
direct
0.250 0.750 0.500
0.750 0.250 0.500
0.157 0.157 0.000
0.843 0.843 0.000
0.500 0.500 0.000
```

Output
Total DFT energy (no corrections), eV per atom: -5.16
Magnetic moment, μB per formula unit: 0.00

CaScHg: relaxed, GGA-PBEsol.

Cell and atoms, written as POSCAR:
```
CaScHg
1.0
3.544 0.000 0.000
-1.772 3.069 0.000
0.000 0.000 7.451
Ca Sc Hg
1 1 1
direct
0.000 0.000 0.000
0.333 0.667 0.398
0.667 0.333 0.678
```

Output
Magnetic moment, μB per formula unit: 0.00
Energy of formation from the pure elements, eV/atom: -0.137

BaAg2As: relaxed, GGA-PBEsol.

Cell and atoms, written as POSCAR:
```
BaAg2As
1.0
3.370 0.000 0.000
0.000 3.796 0.000
0.000 0.000 7.298
Ba Ag As
1 2 1
direct
0.000 0.000 0.000
0.000 0.000 0.517
0.500 0.500 0.329
0.500 0.500 0.696
```

Output
Magnetic moment, μB per formula unit: 0.00
Energy of formation from the pure elements, eV/atom: -0.121